(1)
First-principles (GGA-PBE) data for a relaxed KSnBrF2 crystal, as listed in Alexandria via LeMat-Bulk.

Geometry as POSCAR:
```
KSnBrF2
1.0
4.6882 0.0000 0.0000
0.0000 4.6882 0.0000
0.0000 0.0000 6.1624
K Sn Br F
1 1 1 2
Cartesian
2.3441 2.3441 3.0812
0.0000 0.0000 0.0000
0.0000 0.0000 3.0812
0.0000 2.3441 0.0000
2.3441 0.0000 0.0000
```

Output
Energy relative to the lowest polymorph listed for this composition: 0.115 eV per atom
Size of the total moment: 0.00 μB/f.u.
Uncorrected energy: -4.080 eV per atom
E_form (uncorrected): -1.98 eV per atom


(2)
First-principles (GGA-PBE) data for a relaxed K2SrBr2F2 crystal, as listed in Alexandria via LeMat-Bulk.

Geometry as POSCAR:
```
K2SrBr2F2
1.0
4.7657 0.0000 0.0000
0.0000 4.7657 0.0000
-2.3828 -2.3828 8.9360
K Sr Br F
2 1 2 2
Cartesian
0.0000 0.0000 6.4487
2.3828 2.3828 2.4873
0.0000 0.0000 0.0000
0.0000 0.0000 3.0751
2.3828 2.3828 5.8610
0.0000 2.3828 0.0000
2.3828 0.0000 0.0000
```

Output
Size of the total moment: 0.00 μB/f.u.
Uncorrected energy: -4.150 eV per atom
E_form (uncorrected): -2.58 eV per atom


(3)
First-principles (GGA-PBE) data for a relaxed KSrBr2F crystal, as listed in Alexandria via LeMat-Bulk.

Geometry as POSCAR:
```
KSrBr2F
1.0
6.0993 0.0000 0.0000
0.0000 6.0993 0.0000
0.0000 0.0000 4.6397
Sr K Br F
1 1 2 1
Cartesian
0.0000 0.0000 0.0000
3.0496 3.0496 2.3199
0.0000 3.0496 0.0000
3.0496 0.0000 0.0000
0.0000 0.0000 2.3199
```

Output
Size of the total moment: 0.00 μB/f.u.
Uncorrected energy: -4.016 eV per atom
E_form (uncorrected): -2.42 eV per atom


(4)
First-principles (GGA-PBE) data for a relaxed KSrBrF2 crystal, as listed in Alexandria via LeMat-Bulk.

Geometry as POSCAR:
```
KSrBrF2
1.0
-0.9709 -4.5937 -0.7059
1.6239 -1.0110 4.3455
-5.7387 0.8528 2.3429
Sr K Br F
1 1 1 2
Cartesian
0.0000 0.0000 0.0000
-2.5428 -2.3759 2.9913
-2.8693 0.4264 1.1715
0.8119 -0.5055 2.1728
-0.4854 -2.2968 -0.3530
```

Output
Energy relative to the lowest polymorph listed for this composition: 0.000 eV per atom
Size of the total moment: 0.00 μB/f.u.
Uncorrected energy: -4.518 eV per atom
E_form (uncorrected): -2.88 eV per atom


(5)
First-principles (GGA-PBE) data for a relaxed KSrBrF2 crystal, as listed in Alexandria via LeMat-Bulk.

Geometry as POSCAR:
```
KSrBrF2
1.0
-1.6590 -4.0464 -1.6136
-0.3331 -2.1521 5.7392
-4.3489 1.6387 0.3620
Sr K Br F
1 1 1 2
Cartesian
-0.1666 -1.0760 2.8696
0.0000 0.0000 0.0000
-3.1705 -2.2799 2.2438
-2.1745 0.8193 0.1810
-0.8295 -2.0232 -0.8068
```

Output
Energy relative to the lowest polymorph listed for this composition: 0.975 eV per atom
Size of the total moment: 0.00 μB/f.u.
Uncorrected energy: -3.544 eV per atom
E_form (uncorrected): -1.90 eV per atom


(6)
First-principles (GGA-PBE) data for a relaxed K3TaBr2F6 crystal, as listed in Alexandria via LeMat-Bulk.

Geometry as POSCAR:
```
K3TaBr2F6
1.0
5.1053 0.0000 0.0996
0.0000 7.7329 0.0000
-0.7248 -3.8665 8.0750
K Ta Br F
3 1 2 6
Cartesian
0.0000 3.8665 0.0000
2.1902 1.9332 4.0873
2.1902 -1.9332 4.0873
2.5527 0.0000 0.0498
4.8059 3.8664 3.2611
-0.4254 0.0000 4.9135
3.7999 1.3966 0.4865
0.5806 2.4698 7.6882
2.4126 3.8665 6.2725
1.9679 0.0000 1.9022
0.5806 -2.4698 7.6882
3.7999 6.3363 0.4865
```

Output
Size of the total moment: 0.00 μB/f.u.
Uncorrected energy: -5.201 eV per atom
E_form (uncorrected): -2.72 eV per atom


(7)
First-principles (GGA-PBE) data for a relaxed KTb2Br2F5 crystal, as listed in Alexandria via LeMat-Bulk.

Geometry as POSCAR:
```
KTb2Br2F5
1.0
3.5118 0.0000 0.0000
0.0000 10.2036 0.0000
0.0000 0.0000 10.2036
K Tb Br F
2 4 4 10
Cartesian
0.0000 0.0000 0.0000
0.0000 5.1018 5.1018
0.0000 1.2971 6.3989
0.0000 8.9065 3.8047
0.0000 6.3989 8.9065
0.0000 3.8047 1.2971
0.0000 6.8237 1.7219
0.0000 3.3799 8.4817
0.0000 1.7219 3.3799
0.0000 8.4817 6.8237
1.7559 2.4282 0.7950
1.7559 7.7754 9.4086
1.7559 0.7950 7.7754
1.7559 7.5300 4.3068
1.7559 9.4086 2.4282
1.7559 2.6736 5.8968
1.7559 5.8968 7.5300
1.7559 4.3068 2.6736
1.7559 5.1018 0.0000
1.7559 0.0000 5.1018
```

Output
Size of the total moment: 0.00 μB/f.u.
Uncorrected energy: -5.440 eV per atom
E_form (uncorrected): -3.13 eV per atom


(8)
First-principles (GGA-PBE) data for a relaxed K3TcBr2F6 crystal, as listed in Alexandria via LeMat-Bulk.

Geometry as POSCAR:
```
K3TcBr2F6
1.0
5.3536 0.0029 0.2186
0.0041 7.4793 0.0009
-0.5582 -3.7386 7.8352
K Tc Br F
3 1 2 6
Cartesian
0.0021 3.7397 0.0005
2.3998 1.8718 4.0273
2.3977 -1.8679 4.0269
2.6768 0.0014 0.1093
-0.2194 3.7404 3.2106
5.0190 0.0032 4.8441
3.9563 1.3989 0.3558
0.8432 2.3447 7.6989
2.4575 3.7380 6.0197
2.3420 0.0056 2.0350
0.8233 -2.3566 7.6904
3.9762 6.1001 0.3643
```

Output
Size of the total moment: 2.62 μB/f.u.
Uncorrected energy: -4.468 eV per atom
E_form (uncorrected): -2.12 eV per atom


(9)
First-principles (GGA-PBE) data for a relaxed KTcBrF2 crystal, as listed in Alexandria via LeMat-Bulk.

Geometry as POSCAR:
```
KTcBrF2
1.0
-4.6678 0.6681 -1.3852
-1.7726 -3.5738 4.2496
-0.3622 3.8245 3.0652
K Tc Br F
1 1 1 2
Cartesian
-0.8863 -1.7869 2.1248
-3.4013 0.4594 2.9648
0.0000 0.0000 0.0000
-0.1811 1.9122 1.5326
-2.3339 0.3341 -0.6926
```

Output
Size of the total moment: 5.21 μB/f.u.
Uncorrected energy: -2.985 eV per atom
E_form (uncorrected): 0.39 eV per atom


(10)
First-principles (GGA-PBE) data for a relaxed K2TcBr4F2 crystal, as listed in Alexandria via LeMat-Bulk.

Geometry as POSCAR:
```
K2TcBr4F2
1.0
-6.2319 0.7892 3.5237
-1.2320 -3.4640 6.1187
-0.3970 3.9449 5.9360
K Tc Br F
2 1 4 2
Cartesian
-2.4458 0.5150 9.7074
-5.4151 0.7551 5.8711
-3.1160 0.3946 1.7619
-2.8311 -1.4580 6.6409
-5.4615 -1.1026 9.0320
-5.0298 2.7280 8.9375
-2.3994 2.3726 6.5465
-1.7335 0.2733 3.1626
-6.1275 0.9967 12.4158
```

Output
Size of the total moment: 3.00 μB/f.u.
Uncorrected energy: -4.077 eV per atom
E_form (uncorrected): -1.52 eV per atom


(11)
First-principles (GGA-PBE) data for a relaxed KTlBrF crystal, as listed in Alexandria via LeMat-Bulk.

Geometry as POSCAR:
```
KTlBrF
1.0
-2.8416 -3.1002 -1.5937
0.8257 -1.9894 -3.9479
7.1765 -12.5439 5.2603
K Tl Br F
2 2 2 2
Cartesian
-0.6479 -4.3550 -3.0641
5.8085 -13.2785 2.7829
2.7284 -11.6466 -1.2452
2.4322 -5.9868 0.9640
4.8846 -9.3763 3.1848
0.2760 -8.2572 -3.4661
5.1603 -15.0077 0.9571
0.0004 -2.6257 -1.2384
```

Output
Energy relative to the lowest polymorph listed for this composition: 0.000 eV per atom
Size of the total moment: 0.10 μB/f.u.
Uncorrected energy: -3.402 eV per atom
E_form (uncorrected): -1.65 eV per atom


(12)
First-principles (GGA-PBE) data for a relaxed K2TlBr2F2 crystal, as listed in Alexandria via LeMat-Bulk.

Geometry as POSCAR:
```
K2TlBr2F2
1.0
4.7917 0.0000 0.0000
0.0000 4.7917 0.0000
-2.3959 -2.3959 8.5437
K Tl Br F
2 1 2 2
Cartesian
0.0000 0.0000 6.4170
2.3959 2.3959 2.1267
0.0000 0.0000 0.0000
0.0000 0.0000 2.9338
2.3959 2.3959 5.6099
0.0000 2.3959 0.0000
2.3959 0.0000 0.0000
```

Output
Size of the total moment: 0.00 μB/f.u.
Uncorrected energy: -3.444 eV per atom
E_form (uncorrected): -1.78 eV per atom


(13)
First-principles (GGA-PBE) data for a relaxed KTlBrF crystal, as listed in Alexandria via LeMat-Bulk.

Geometry as POSCAR:
```
KTlBrF
1.0
-0.1210 5.2501 -1.0486
-4.4800 2.2524 -1.8798
-2.8554 3.2878 3.1168
Tl K Br F
1 1 1 1
Cartesian
-1.8641 2.6976 0.0471
-5.5923 8.0927 0.1412
-3.7282 5.3951 0.0942
0.0000 0.0000 0.0000
```

Output
Energy relative to the lowest polymorph listed for this composition: 0.079 eV per atom
Size of the total moment: 0.00 μB/f.u.
Uncorrected energy: -3.323 eV per atom
E_form (uncorrected): -1.57 eV per atom


(14)
First-principles (GGA-PBE) data for a relaxed KUBr2F6 crystal, as listed in Alexandria via LeMat-Bulk.

Geometry as POSCAR:
```
KUBr2F6
1.0
6.9075 0.0085 0.0011
0.0093 6.9078 0.0011
3.4591 3.4589 4.8789
K U Br F
1 1 2 6
Cartesian
0.0000 0.0000 0.0000
3.4584 3.4581 0.0011
3.4637 6.9121 2.4404
6.9122 3.4630 2.4406
5.4668 8.3678 4.8800
8.3680 8.3673 4.8801
3.4584 3.4582 2.0528
4.9090 2.0073 0.0011
2.0078 2.0078 0.0010
6.9174 6.9170 2.8283
```

Output
Size of the total moment: 1.01 μB/f.u.
Uncorrected energy: -5.251 eV per atom
E_form (uncorrected): -2.56 eV per atom